1.
# RbAgAs2Se4, relaxed, DFT PBE
# - VASP energy: -29.02 eV per formula unit
# - ρ: 4.291 Mg/m³
data_RbAgAs2Se4
_cell_length_a 6.170
_cell_length_b 6.857
_cell_length_c 12.057
_cell_angle_alpha 90.00
_cell_angle_beta 90.00
_cell_angle_gamma 90.00
_space_group_name_H-M_alt 'I 2 2 2'
_space_group_IT_number 23
_space_group_name_Hall 'I 2 2'
loop_
_atom_site_label
_atom_site_fract_x
_atom_site_fract_y
_atom_site_fract_z
Rb1 0.000 0.000 0.000
Ag1 0.000 0.000 0.500
As1 0.000 0.500 0.271
Se1 0.249 0.176 0.656


2.
# Fe2AsBr, relaxed, DFT PBE
# - Energy above the lowest structure with this stoichiometry: 0.77 eV/f.u.
# - VASP energy: -22.38 eV per formula unit
# - ρ: 5.932 Mg/m³
data_Fe2AsBr
_cell_length_a 3.8724
_cell_length_b 3.8724
_cell_length_c 17.2335
_cell_angle_alpha 90.00
_cell_angle_beta 90.00
_cell_angle_gamma 120.00
_space_group_name_H-M_alt 'R -3 m'
_space_group_IT_number 166
_space_group_name_Hall '-R 3 2"'
loop_
_atom_site_label
_atom_site_fract_x
_atom_site_fract_y
_atom_site_fract_z
Fe1 0.0000 0.0000 0.2129
As1 0.0000 0.0000 0.5000
Br1 0.0000 0.0000 0.0000


3.
# Mg3Hg, relaxed, DFT PBE
# - VASP energy: -5.55 eV per formula unit
# - ρ: 5.186 Mg/m³
# - Energy of formation: -0.47 eV/f.u.
data_Mg3Hg
_cell_length_a 3.333
_cell_length_b 5.004
_cell_length_c 5.251
_cell_angle_alpha 90.00
_cell_angle_beta 90.00
_cell_angle_gamma 90.00
_space_group_name_H-M_alt 'P m m 2'
_space_group_IT_number 25
_space_group_name_Hall 'P 2 -2'
loop_
_atom_site_label
_atom_site_fract_x
_atom_site_fract_y
_atom_site_fract_z
Mg1 0.000 0.000 0.000
Mg2 0.000 0.500 0.358
Mg3 0.500 0.500 0.853
Hg1 0.500 0.000 0.502


4.
# Ho4Se2S, relaxed, DFT PBE
# - VASP energy: -39.93 eV per formula unit
# - ρ: 8.060 Mg/m³
data_Ho4Se2S
_cell_length_a 7.899
_cell_length_b 11.190
_cell_length_c 3.962
_cell_angle_alpha 90.00
_cell_angle_beta 90.00
_cell_angle_gamma 90.00
_space_group_name_H-M_alt 'C m m m'
_space_group_IT_number 65
_space_group_name_Hall '-C 2 2'
loop_
_atom_site_label
_atom_site_fract_x
_atom_site_fract_y
_atom_site_fract_z
Ho1 0.000 0.243 0.000
Ho2 0.245 0.000 0.500
Se1 0.250 0.250 0.500
S1 0.000 0.000 0.000


5.
# TlTeCl2, relaxed, DFT PBE
# - Energy above the lowest structure with this stoichiometry: 1.24 eV/f.u.
# - VASP energy: -9.83 eV per formula unit
# - ρ: 5.615 Mg/m³
data_TlTeCl2
_cell_length_a 7.811
_cell_length_b 7.811
_cell_length_c 7.811
_cell_angle_alpha 90.00
_cell_angle_beta 90.00
_cell_angle_gamma 90.00
_space_group_name_H-M_alt 'F m -3 m'
_space_group_IT_number 225
_space_group_name_Hall '-F 4 2 3'
loop_
_atom_site_label
_atom_site_fract_x
_atom_site_fract_y
_atom_site_fract_z
Tl1 0.000 0.000 0.000
Te1 0.000 0.000 0.500
Cl1 0.250 0.250 0.250


6.
# PrGa3Pd, relaxed, DFT PBE
# - Energy above the lowest structure with this stoichiometry: 0.00 eV/f.u.
# - VASP energy: -22.62 eV per formula unit
# - ρ: 7.555 Mg/m³
# - Energy of formation: -3.56 eV/f.u.
data_PrGa3Pd
_cell_length_a 4.354
_cell_length_b 4.354
_cell_length_c 10.585
_cell_angle_alpha 90.00
_cell_angle_beta 90.00
_cell_angle_gamma 90.00
_space_group_name_H-M_alt 'I 4 m m'
_space_group_IT_number 107
_space_group_name_Hall 'I 4 -2'
loop_
_atom_site_label
_atom_site_fract_x
_atom_site_fract_y
_atom_site_fract_z
Pr1 0.000 0.000 0.000
Ga1 0.000 0.000 0.589
Ga2 0.000 0.500 0.239
Pd1 0.000 0.000 0.356